Entry from the Alexandria database: a geometry-optimized InBiAu2 structure (PBE).

Geometry as POSCAR:
```
InBiAu2
1.0
2.012 1.161 7.079
-2.012 1.161 7.079
0.000 -2.323 7.079
In Bi Au
1 1 2
Cartesian
0.000 0.000 0.000
0.000 0.000 10.619
0.000 0.000 5.407
0.000 0.000 15.830
```

Energy of formation from the pure elements   -31 kJ/mol of formula units
Size of the total moment   0.00 μB per cell
Energy   -3.373 eV/atom
SG   R-3m



Entry from the Alexandria database: a geometry-optimized Dy2TmPu structure (PBE).

Geometry as POSCAR:
```
Dy2TmPu
1.0
1.761 1.017 11.274
-1.761 1.017 11.274
0.000 -2.034 11.274
Dy Tm Pu
2 1 1
Cartesian
0.000 0.000 0.000
0.000 0.000 5.665
0.000 0.000 25.366
0.000 0.000 19.757
```

Energy of formation from the pure elements   35 kJ/mol of formula units
Size of the total moment   5.84 μB per cell
Energy   -6.911 eV/atom
Energy above the most stable polymorph in this dataset   0.0 meV per atom
SG   R3m



Copy entry 1 word for word.
Entry from the Alexandria database: a geometry-optimized InBiAu2 structure (PBE).

Geometry as POSCAR:
```
InBiAu2
1.0
2.012 1.161 7.079
-2.012 1.161 7.079
0.000 -2.323 7.079
In Bi Au
1 1 2
Cartesian
0.000 0.000 0.000
0.000 0.000 10.619
0.000 0.000 5.407
0.000 0.000 15.830
```

Energy of formation from the pure elements   -31 kJ/mol of formula units
Size of the total moment   0.00 μB per cell
Energy   -3.373 eV/atom
SG   R-3m